(1)
Density functional theory data (PBE-GGA) for a relaxed structure of Be2NiMo.

- Symmetry: No. 225
- Electronic total energy: -6.00 eV per atom
- N(E_F): 4.4 states/eV per cell
- Total magnetic moment: 0.00 μB per formula unit

Structure (extended XYZ):
```
4
Lattice="0.000 2.767 2.767 2.767 0.000 2.767 2.767 2.767 0.000" Properties=species:S:1:pos:R:3 pbc="T T T"
Be 1.384 1.384 1.384
Be 4.151 4.151 4.151
Ni 0.000 0.000 0.000
Mo 2.767 2.767 2.767
```

(2)
Density functional theory data (PBE-GGA) for a relaxed structure of BaPmHgAu.

- Symmetry: No. 216
- Electronic total energy: -3.04 eV per atom
- N(E_F): 3.6 states/eV per cell
- Total magnetic moment: 0.00 μB per formula unit

Structure (extended XYZ):
```
4
Lattice="0.000 3.926 3.926 3.926 0.000 3.926 3.926 3.926 0.000" Properties=species:S:1:pos:R:3 pbc="T T T"
Ba 0.000 0.000 0.000
Pm 3.926 3.926 3.926
Hg 1.963 1.963 1.963
Au 5.888 5.888 5.888
```

(3)
Density functional theory data (PBE-GGA) for a relaxed structure of Nd3YTm2S6.

- Symmetry: No. 12
- Electronic total energy: -6.54 eV per atom
- N(E_F): 5.0 states/eV per cell
- Total magnetic moment: 0.00 μB per formula unit
- E_form (uncorrected): -2000 meV per atom

Structure (extended XYZ):
```
12
Lattice="3.399 -5.905 0.000 3.399 5.905 0.000 -2.275 0.000 6.611" Properties=species:S:1:pos:R:3 pbc="T T T"
Nd 0.000 0.000 0.000
Nd 3.399 1.944 0.000
Nd 3.399 -1.944 0.000
Y 2.262 0.000 3.305
Tm 2.262 3.939 3.305
Tm 2.262 -3.939 3.305
S 1.117 1.995 1.780
S -0.037 0.000 4.821
S 1.117 -1.995 1.780
S 3.407 1.995 4.831
S 4.561 0.000 1.790
S 3.407 -1.995 4.831
```

(4)
Density functional theory data (PBE-GGA) for a relaxed structure of ScZnGa.

- Symmetry: No. 216
- Electronic total energy: -3.49 eV per atom
- N(E_F): 2.3 states/eV per cell
- Total magnetic moment: 0.00 μB per formula unit

Structure (extended XYZ):
```
3
Lattice="0.000 3.188 3.188 3.188 0.000 3.188 3.188 3.188 0.000" Properties=species:S:1:pos:R:3 pbc="T T T"
Sc 0.000 0.000 0.000
Zn 4.782 4.782 4.782
Ga 1.594 1.594 1.594
```

(5)
Density functional theory data (PBE-GGA) for a relaxed structure of MoWC3.

- Symmetry: No. 221
- Electronic total energy: -8.26 eV per atom
- N(E_F): 4.8 states/eV per cell
- Total magnetic moment: 2.14 μB per formula unit

Structure (extended XYZ):
```
5
Lattice="4.030 0.000 0.000 0.000 4.030 0.000 0.000 0.000 4.030" Properties=species:S:1:pos:R:3 pbc="T T T"
Mo 0.000 0.000 0.000
W 2.015 2.015 2.015
C 0.000 2.015 2.015
C 2.015 0.000 2.015
C 2.015 2.015 0.000
```

(6)
Density functional theory data (PBE-GGA) for a relaxed structure of CaPd2C.

- Symmetry: No. 1
- Electronic total energy: -5.46 eV per atom
- N(E_F): 2.4 states/eV per cell
- Total magnetic moment: 0.00 μB per formula unit

Structure (extended XYZ):
```
8
Lattice="5.233 0.000 0.000 -2.401 4.865 0.000 -0.805 -2.158 5.330" Properties=species:S:1:pos:R:3 pbc="T T T"
Ca 0.000 0.000 0.000
Ca -0.917 2.523 2.612
Pd -0.516 1.017 5.230
Pd 1.509 0.566 2.904
Pd 2.556 1.583 0.247
Pd 4.031 -0.442 2.747
C 2.615 -0.182 1.250
C 3.027 0.390 4.349
```

(7)
Density functional theory data (PBE-GGA) for a relaxed structure of CsK16Na12.

- Symmetry: No. 8
- Electronic total energy: -1.16 eV per atom
- N(E_F): 20.2 states/eV per cell
- Total magnetic moment: 0.00 μB per formula unit

Structure (extended XYZ):
```
29
Lattice="7.457 -10.642 0.000 7.457 10.642 0.000 -7.195 0.000 10.493" Properties=species:S:1:pos:R:3 pbc="T T T"
Cs 0.000 0.000 0.000
K 2.976 7.362 3.373
K -1.605 3.641 7.671
K 2.853 3.422 1.434
K 1.668 7.461 7.589
K 6.101 6.255 0.423
K 0.961 0.000 7.582
K 6.238 4.338 4.353
K -1.605 -3.641 7.671
K 3.513 0.000 3.926
K 2.853 -3.422 1.434
K 2.976 -7.362 3.373
K 6.101 -6.255 0.423
K 7.659 0.000 4.823
K 10.587 0.000 0.716
K 1.668 -7.461 7.589
K 6.238 -4.338 4.353
Na -3.161 0.000 5.809
Na -0.498 1.928 3.948
Na 2.234 3.798 5.693
Na -0.498 -1.928 3.948
Na -2.947 0.000 9.529
Na 6.824 1.898 0.984
Na 2.310 3.790 9.534
Na 4.901 1.965 7.578
Na 2.234 -3.798 5.693
Na 6.824 -1.898 0.984
Na 4.901 -1.965 7.578
Na 2.310 -3.790 9.534
```

(8)
Density functional theory data (PBE-GGA) for a relaxed structure of SrMgTa2.

- Symmetry: No. 123
- Electronic total energy: -5.80 eV per atom
- N(E_F): 6.1 states/eV per cell
- Total magnetic moment: 1.01 μB per formula unit

Structure (extended XYZ):
```
4
Lattice="3.716 0.000 0.000 0.000 3.716 0.000 0.000 0.000 7.330" Properties=species:S:1:pos:R:3 pbc="T T T"
Sr 0.000 0.000 0.000
Mg 0.000 0.000 3.665
Ta 1.858 1.858 2.446
Ta 1.858 1.858 4.884
```

(9)
Density functional theory data (PBE-GGA) for a relaxed structure of Sc2MnTe.

- Symmetry: No. 216
- Electronic total energy: -6.21 eV per atom
- N(E_F): 3.5 states/eV per cell
- Total magnetic moment: 0.00 μB per formula unit
- E_form (uncorrected): 36 meV per atom

Structure (extended XYZ):
```
4
Lattice="0.000 3.306 3.306 3.306 0.000 3.306 3.306 3.306 0.000" Properties=species:S:1:pos:R:3 pbc="T T T"
Sc 0.000 0.000 0.000
Sc 1.653 1.653 1.653
Mn 3.306 3.306 3.306
Te 4.959 4.959 4.959
```

(10)
Density functional theory data (PBE-GGA) for a relaxed structure of La3SmY7.

- Symmetry: No. 156
- Electronic total energy: -5.71 eV per atom
- N(E_F): 18.7 states/eV per cell
- Total magnetic moment: 0.00 μB per formula unit

Structure (extended XYZ):
```
11
Lattice="7.162 0.000 0.000 -3.581 6.203 0.000 0.000 0.000 8.826" Properties=species:S:1:pos:R:3 pbc="T T T"
La -1.790 3.102 0.000
La 0.000 6.202 0.000
La 1.790 3.102 0.000
Sm 0.000 4.135 5.842
Y 0.000 2.075 2.991
Y -1.784 5.165 2.991
Y 1.797 1.037 5.834
Y 1.784 5.165 2.991
Y 3.581 2.068 2.992
Y 5.366 1.037 5.834
Y 3.581 4.128 5.834
```

(11)
Density functional theory data (PBE-GGA) for a relaxed structure of Pu2ThNi2Ge2.

- Symmetry: No. 166
- Electronic total energy: -8.50 eV per atom
- N(E_F): 9.4 states/eV per cell
- Total magnetic moment: 0.00 μB per formula unit

Structure (extended XYZ):
```
7
Lattice="2.030 1.172 8.851 -2.030 1.172 8.851 0.000 -2.344 8.851" Properties=species:S:1:pos:R:3 pbc="T T T"
Pu 0.000 0.000 4.033
Pu 0.000 0.000 22.520
Th 0.000 0.000 0.000
Ni 0.000 0.000 11.268
Ni 0.000 0.000 15.284
Ge 0.000 0.000 6.897
Ge 0.000 0.000 19.655
```

(12)
Density functional theory data (PBE-GGA) for a relaxed structure of La2TeRu.

- Symmetry: No. 38
- Electronic total energy: -6.33 eV per atom
- N(E_F): 1.3 states/eV per cell
- Total magnetic moment: 0.00 μB per formula unit
- E_form (uncorrected): -765 meV per atom

Structure (extended XYZ):
```
4
Lattice="4.621 0.000 0.000 0.000 2.134 5.881 0.000 -2.134 5.881" Properties=species:S:1:pos:R:3 pbc="T T T"
La 0.000 0.000 0.000
La 2.311 0.000 3.450
Te 0.000 0.000 8.467
Ru 2.311 0.000 5.894
```

(13)
Density functional theory data (PBE-GGA) for a relaxed structure of ZrZnH3.

- Symmetry: No. 221
- Electronic total energy: -3.94 eV per atom
- N(E_F): 1.4 states/eV per cell
- Total magnetic moment: 0.00 μB per formula unit

Structure (extended XYZ):
```
5
Lattice="3.820 0.000 0.000 0.000 3.820 0.000 0.000 0.000 3.820" Properties=species:S:1:pos:R:3 pbc="T T T"
Zr 0.000 0.000 0.000
Zn 1.910 1.910 1.910
H 0.000 0.000 1.910
H 0.000 1.910 0.000
H 1.910 0.000 0.000
```

(14)
Density functional theory data (PBE-GGA) for a relaxed structure of TiCdPb.

- Symmetry: No. 107
- Electronic total energy: -4.00 eV per atom
- N(E_F): 2.4 states/eV per cell
- Total magnetic moment: 0.31 μB per formula unit

Structure (extended XYZ):
```
3
Lattice="-1.558 1.558 7.161 1.558 -1.558 7.161 1.558 1.558 -7.161" Properties=species:S:1:pos:R:3 pbc="T T T"
Ti 0.000 0.000 0.000
Cd 0.000 0.000 5.154
Pb 0.000 0.000 9.432
```

(15)
Density functional theory data (PBE-GGA) for a relaxed structure of NbSbSeN2.

- Symmetry: No. 123
- Electronic total energy: -6.51 eV per atom
- N(E_F): 2.6 states/eV per cell
- Total magnetic moment: 0.00 μB per formula unit
- E_form (uncorrected): 352 meV per atom

Structure (extended XYZ):
```
5
Lattice="4.101 0.000 0.000 0.000 4.101 0.000 0.000 0.000 5.332" Properties=species:S:1:pos:R:3 pbc="T T T"
Nb 0.000 0.000 0.000
Sb 2.050 2.050 2.666
Se 0.000 0.000 2.666
N 0.000 2.050 0.000
N 2.050 0.000 0.000
```

(16)
Density functional theory data (PBE-GGA) for a relaxed structure of Li2PmPb.

- Symmetry: No. 62
- Electronic total energy: -3.36 eV per atom
- N(E_F): 10.0 states/eV per cell
- Total magnetic moment: 0.58 μB per formula unit

Structure (extended XYZ):
```
16
Lattice="9.039 0.000 0.000 0.000 6.942 0.000 0.000 0.000 6.031" Properties=species:S:1:pos:R:3 pbc="T T T"
Li 1.599 0.392 0.711
Li 1.599 3.079 0.711
Li 2.921 3.863 3.727
Li 2.921 6.550 3.727
Li 6.118 0.392 2.304
Li 6.118 3.079 2.304
Li 7.440 3.863 5.320
Li 7.440 6.550 5.320
Pm 0.516 1.735 3.791
Pm 4.004 5.206 0.775
Pm 5.035 1.735 5.256
Pm 8.523 5.206 2.241
Pb 0.909 5.206 5.126
Pb 3.610 1.735 2.111
Pb 5.429 5.206 3.921
Pb 8.130 1.735 0.905
```